LaMgCrCuO6 after structural relaxation, computed with PBE+U.

Calculated values
total energy = -6.703 eV per atom
total moment = 0.002 μB/atom
V = 222 Å³/cell
DOS at the Fermi energy = 1.76 states/eV/cell

abc: 5.3162 5.4351 9.3454
angles: 90.00 124.52 90.00
With the nearest neighbours (Å) after each atom.
Space group Pc (No. 7)
One atom of each set of equivalent atoms:
La 0.0000 0.2035 0.0000  4 O 2.31-2.45
Mg 0.4721 0.3060 0.5045  6 O 2.12-2.30
Cr 0.2388 0.2588 0.7512  6 O 1.85-2.04
Cu 0.7373 0.2522 0.2490  6 O 2.01-2.17
O 0.0381 0.4768 0.8067  1 Cr 1.85, 1 Cu 2.01
O 0.1331 0.0415 0.3097  1 Cr 1.90
O 0.3971 0.4919 0.1833  1 Cr 1.89, 1 Cu 2.02
O 0.4941 0.0600 0.6925  1 Cu 2.01, 1 Cr 2.04, 1 Mg 2.16
O 0.5745 0.3107 0.9952  1 Cr 1.96, 1 Cu 2.04, 1 Mg 2.17
O 0.8633 0.2256 0.5059  1 Cr 2.02, 1 Cu 2.10, 1 Mg 2.12